Record 1
VASP calculation (PBE) on crystalline InIr2Cl at its relaxed geometry.

Cell lengths 2.863, 4.267, 12.037 Å; angles 90.00, 90.00, 90.00 degrees
Space group Imm2 (No. 44)
Symmetry-distinct sites (fractional):
In 0.000 0.000 0.000
Ir 0.000 0.000 0.595
Ir 0.000 0.500 0.283
Cl 0.000 0.500 0.787

Total magnetization (μB per cell): 0.0
E (eV/cell): -40.78
Distance to the lowest polymorph of the same formula (kJ/mol of formula units): 118



Record 2
VASP calculation (PBE) on crystalline HoSO4 at its relaxed geometry.

Cell lengths 6.181, 9.612, 5.562 Å; angles 90.00, 116.82, 90.00 degrees
Space group C2/c (No. 15)
Symmetry-distinct sites (fractional):
Ho 0.000 0.125 0.250
S 0.000 0.399 0.750
O 0.080 0.307 0.577
O 0.213 0.058 0.022

Total magnetization (μB per cell): 3.9
E (eV/cell): -162.38



Record 3
VASP calculation (PBE) on crystalline K3Sm2ScTe6 at its relaxed geometry.

Cell lengths 7.776, 13.471, 8.631 Å; angles 90.00, 107.54, 90.00 degrees
Space group C2/m (No. 12)
Symmetry-distinct sites (fractional):
K 0.000 0.000 0.000
K 0.000 0.329 0.000
Sm 0.000 0.166 0.500
Sc 0.000 0.500 0.500
Te 0.228 0.341 0.707
Te 0.248 0.500 0.292

Total magnetization (μB per cell): 0.0
E (eV/cell): -108.27



Record 4
VASP calculation (PBE) on crystalline CeDy2Ga2Rh5 at its relaxed geometry.

Cell lengths 9.912, 9.912, 3.683 Å; angles 90.00, 90.00, 90.00 degrees
Space group P4/mbm (No. 127)
Symmetry-distinct sites (fractional):
Ce 0.000 0.000 0.000
Dy 0.171 0.329 0.000
Ga 0.124 0.624 0.000
Rh 0.000 0.500 0.500
Rh 0.070 0.792 0.500

Total magnetization (μB per cell): 0.0
E (eV/cell): -132.76
E_form (eV per atom): -0.843



Record 5
VASP calculation (PBE) on crystalline ThAsAuS at its relaxed geometry.

Cell lengths 4.404, 4.404, 8.850 Å; angles 90.00, 90.00, 90.00 degrees
Space group P4/nmm (No. 129, origin choice 2)
Symmetry-distinct sites (fractional):
Th 0.250 0.250 0.199
As 0.250 0.250 0.691
Au 0.250 0.750 0.500
S 0.250 0.750 0.000

Total magnetization (μB per cell): 0.0
E (eV/cell): -47.64



Record 6
VASP calculation (PBE) on crystalline Li3Mg3Sn at its relaxed geometry.

Cell lengths 8.2591, 8.2591, 5.0245 Å; angles 90.00, 90.00, 120.00 degrees
Space group P6_3/m (No. 176)
Symmetry-distinct sites (fractional):
Li 0.0551 0.8193 0.2500
Mg 0.0948 0.6358 0.7500
Sn 0.3333 0.6667 0.2500

Total magnetization (μB per cell): 0.0
E (eV/cell): -30.57
E_form (eV per atom): -0.108



Record 7
VASP calculation (PBE) on crystalline La8Ho2Tm at its relaxed geometry.

Cell lengths 9.249, 16.805, 6.053 Å; angles 90.00, 123.66, 90.00 degrees
Space group C2/m (No. 12)
Symmetry-distinct sites (fractional):
La 0.000 0.206 0.000
La 0.081 0.500 0.799
La 0.214 0.119 0.683
Ho 0.000 0.311 0.500
Tm 0.000 0.000 0.000

Total magnetization (μB per cell): 0.0
E (eV/cell): -103.27
Distance to the lowest polymorph of the same formula (kJ/mol of formula units): 113
E_form (eV per atom): 0.128



Record 8
VASP calculation (PBE) on crystalline BaYPb2 at its relaxed geometry.

Cell lengths 3.808, 5.649, 6.710 Å; angles 90.00, 90.00, 90.00 degrees
Space group Pmm2 (No. 25)
Symmetry-distinct sites (fractional):
Ba 0.000 0.000 0.000
Y 0.500 0.500 0.503
Pb 0.000 0.000 0.500
Pb 0.500 0.500 0.004

Total magnetization (μB per cell): 0.0
E (eV/cell): -16.82
E_form (eV per atom): -0.255



Record 9
VASP calculation (PBE) on crystalline Li5Zn8Ir at its relaxed geometry.

Cell lengths 7.669, 7.669, 7.348 Å; angles 90.00, 90.00, 90.00 degrees
Space group I-4 (No. 82)
Symmetry-distinct sites (fractional):
Li 0.000 0.000 0.000
Li 0.109 0.808 0.395
Zn 0.053 0.660 0.068
Zn 0.123 0.808 0.744
Ir 0.000 0.500 0.750

Total magnetization (μB per cell): 0.0
E (eV/cell): -59.24
E_form (eV per atom): -0.071



Record 10
VASP calculation (PBE) on crystalline MgAl4Tl4O12 at its relaxed geometry.

Cell lengths 5.917, 7.842, 6.198 Å; angles 90.00, 112.60, 90.00 degrees
Space group Pm (No. 6)
Symmetry-distinct sites (fractional):
Mg 0.000 0.000 0.000
Al 0.308 0.290 0.221
Al 0.869 0.269 0.679
Tl 0.346 0.500 0.702
Tl 0.369 0.000 0.627
Tl 0.719 0.000 0.251
Tl 0.807 0.500 0.213
O 0.008 0.252 0.991
O 0.083 0.202 0.550
O 0.193 0.500 0.288
O 0.321 0.000 0.245
O 0.498 0.322 0.050
O 0.541 0.294 0.524
O 0.760 0.000 0.680
O 0.933 0.500 0.630

Total magnetization (μB per cell): 0.0
E (eV/cell): -122.27
Distance to the lowest polymorph of the same formula (kJ/mol of formula units): 146



Record 11
VASP calculation (PBE) on crystalline ThMg2InSn at its relaxed geometry.

Cell lengths 4.253, 16.261, 8.204 Å; angles 90.00, 90.00, 90.00 degrees
Space group Cmcm (No. 63)
Symmetry-distinct sites (fractional):
Th 0.000 0.094 0.250
Mg 0.000 0.326 0.063
In 0.000 0.500 0.000
Sn 0.000 0.247 0.750

Total magnetization (μB per cell): 0.0
E (eV/cell): -70.73
E_form (eV per atom): -0.066